No. 1
The following is a DFT calculation (PBE) of an optimized crystal structure of Na2USbTe4.

Lattice parameters (Å, degrees): 4.498 7.839 7.914 108.97 90.00 90.00
Last column: magnetic moment on the atom in μB.
Fractional positions:
Sb (0.000, 0.000, 0.000)  0.03
Na (0.500, 0.000, 0.500)  0.00
Te (0.500, 0.759, 0.769)  -0.02
Te (0.000, 0.747, 0.234)  -0.03
Na (0.000, 0.500, 0.500)  0.00
U (0.500, 0.500, 0.000)  2.72
Te (0.500, 0.241, 0.231)  -0.02
Te (0.000, 0.253, 0.766)  -0.03

Computed properties:
total magnetic moment: 2.9 μB/cell
formation energy (no corrections): -4.76 eV/f.u.


No. 2
The following is a DFT calculation (PBE) of an optimized crystal structure of NaVSb2Te.

Lattice parameters (Å, degrees): 5.215 5.215 5.317 90.00 90.00 90.00
Fractional positions:
Na (0.500, 0.500, 0.500)
V (0.000, 0.000, 0.000)
Sb (0.500, 0.000, 0.000)
Sb (0.000, 0.500, 0.000)
Te (0.000, 0.000, 0.500)

Computed properties:
energy relative to the lowest polymorph listed for this composition: 0.0 meV per atom
total magnetic moment: 0.0 μB/cell
formation energy (no corrections): 0.23 eV/f.u.


No. 3
The following is a DFT calculation (PBE) of an optimized crystal structure of NaSbTe2W.

Lattice parameters (Å, degrees): 5.458 5.458 5.279 90.00 90.00 90.00
Fractional positions:
Te (0.000, 0.500, 0.000)
W (0.000, 0.000, 0.000)
Sb (0.000, 0.000, 0.500)
Te (0.500, 0.000, 0.000)
Na (0.500, 0.500, 0.500)

Computed properties:
energy relative to the lowest polymorph listed for this composition: 0.0 meV per atom
total magnetic moment: 0.0 μB/cell
formation energy (no corrections): 1.58 eV/f.u.


No. 4
The following is a DFT calculation (PBE) of an optimized crystal structure of Na4Y3SbTe8.

Lattice parameters (Å, degrees): 8.879 9.137 8.879 119.09 120.00 90.00
Fractional positions:
Te (0.255, 0.269, 0.012)
Te (0.744, 0.732, 0.488)
Na (0.000, 0.000, 0.000)
Te (0.757, 0.269, 0.012)
Y (0.000, 0.500, 0.500)
Sb (0.000, 0.500, 0.000)
Na (0.500, 0.000, 0.500)
Te (0.757, 0.269, 0.514)
Te (0.745, 0.731, 0.988)
Te (0.243, 0.731, 0.988)
Y (0.500, 0.500, 0.500)
Te (0.256, 0.268, 0.512)
Na (0.000, 0.000, 0.500)
Na (0.500, 0.000, 0.000)
Te (0.243, 0.731, 0.486)
Y (0.500, 0.500, 0.000)

Computed properties:
total magnetic moment: 0.0 μB/cell
formation energy (no corrections): -17.75 eV/f.u.


No. 5
The following is a DFT calculation (PBE) of an optimized crystal structure of NaZnSb2Te.

Lattice parameters (Å, degrees): 5.452 5.452 5.470 90.00 90.00 90.00
Fractional positions:
Sb (0.500, 0.000, 0.000)
Sb (0.000, 0.500, 0.000)
Te (0.000, 0.000, 0.500)
Na (0.000, 0.000, 0.000)
Zn (0.500, 0.500, 0.500)

Computed properties:
energy relative to the lowest polymorph listed for this composition: 584.9 meV per atom
total magnetic moment: 0.0 μB/cell
formation energy (no corrections): 3.88 eV/f.u.


No. 6
The following is a DFT calculation (PBE) of an optimized crystal structure of NaZnSbTe2.

Lattice parameters (Å, degrees): 5.597 5.597 5.097 90.00 90.00 90.00
Fractional positions:
Zn (0.000, 0.000, 0.000)
Sb (0.000, 0.000, 0.500)
Te (0.500, 0.000, 0.000)
Te (0.000, 0.500, 0.000)
Na (0.500, 0.500, 0.500)

Computed properties:
energy relative to the lowest polymorph listed for this composition: 0.0 meV per atom
total magnetic moment: 0.0 μB/cell
formation energy (no corrections): 0.42 eV/f.u.


Which value of total magnetic moment does entry 5 give? 0.0 μB/cell


Which formula does entry 6 have? NaZnSbTe2